Entry 1:
Material: U2Be25Cu
Method: DFT, PBE
State: optimized geometry

It has space group Fm-3 (No. 202), with a = 10.250 Å, b = 10.250 Å, c = 10.250 Å, α = 90.00°, β = 90.00° and γ = 90.00°. The asymmetric unit holds U at (0.250, 0.250, 0.250), Be at (0.000, 0.000, 0.000), Be at (0.000, 0.123, 0.319), Be at (0.000, 0.175, 0.111) and Cu at (0.000, 0.000, 0.500).

For the energy of formation from the pure elements, the calculation gives -77 meV/atom. The value obtained for the energy is -4.356 eV/atom.

=====

Entry 2:
Material: BeVCu
Method: DFT, PBE
State: optimized geometry

It has space group P1 (No. 1), with a = 2.425 Å, b = 4.336 Å, c = 6.728 Å, α = 71.59°, β = 88.69° and γ = 89.88°. The asymmetric unit holds Be at (0.000, 0.000, 0.000), Be at (0.006, 0.278, 0.428), V at (0.426, 0.453, 0.090), V at (0.579, 0.820, 0.338), Cu at (0.004, 0.467, 0.714) and Cu at (0.504, 0.958, 0.714).

For the energy of formation from the pure elements, the calculation gives 14 meV/atom. The calculation puts the energy above the most stable polymorph in this dataset at 7.4 kJ/mol of atoms. The value obtained for the energy is -5.633 eV/atom.

=====

Entry 3:
Material: BeVCu
Method: DFT, PBE
State: optimized geometry

It has space group Pnma (No. 62), with a = 5.487 Å, b = 2.733 Å, c = 9.001 Å, α = 90.00°, β = 90.00° and γ = 90.00°. The asymmetric unit holds Be at (0.136, 0.250, 0.233), V at (0.129, 0.250, 0.923) and Cu at (0.098, 0.250, 0.609).

For the energy of formation from the pure elements, the calculation gives 21 meV/atom. The calculation puts the energy above the most stable polymorph in this dataset at 8.1 kJ/mol of atoms. The value obtained for the energy is -5.626 eV/atom.

=====

Entry 4:
Material: BeVCu
Method: DFT, PBE
State: optimized geometry

It has space group P6_3/mmc (No. 194), with a = 3.5014 Å, b = 3.5014 Å, c = 9.1251 Å, α = 90.00°, β = 90.00° and γ = 120.00°. The asymmetric unit holds Be at (0.0000, 0.0000, 0.2500), V at (0.0000, 0.0000, 0.0000) and Cu at (0.3333, 0.6667, 0.2500).

For the energy of formation from the pure elements, the calculation gives 1179 meV/atom. The calculation puts the energy above the most stable polymorph in this dataset at 119.8 kJ/mol of atoms. The value obtained for the energy is -4.468 eV/atom.